No. 1
The following is a DFT calculation (PBE+U) of a relaxed CsRbV2O6 crystal.

abc: 5.7230 8.5678 8.5678
angles: 95.73 88.81 88.81
Last column: nearest neighbours and their distance in Å.
Fractional coordinates of all 20 atoms:
Cs1 0.7500 0.1126 0.8874  8 O 3.03-3.39
Cs2 0.2500 0.8874 0.1126  8 O 3.03-3.39
Rb1 0.7500 0.6804 0.3196  6 O 3.03-3.18
Rb2 0.2500 0.3196 0.6804  6 O 3.03-3.18
O1 0.7900 0.4528 0.8225  1 V 1.67
O2 0.4458 0.6517 0.7034  2 V 1.83
O3 0.2612 0.2456 0.0360  1 V 1.68
O4 0.0542 0.2966 0.3483  2 V 1.83
O5 0.2900 0.8225 0.4528  1 V 1.67
O6 0.7100 0.1775 0.5472  1 V 1.67
O7 0.7612 0.0360 0.2456  1 V 1.68
O8 0.2100 0.5472 0.1775  1 V 1.67
O9 0.7388 0.7544 0.9640  1 V 1.68
O10 0.5542 0.3483 0.2966  2 V 1.83
O11 0.2388 0.9640 0.7544  1 V 1.68
O12 0.9458 0.7034 0.6517  2 V 1.83
V1 0.2673 0.3607 0.2064  4 O 1.67-1.83
V2 0.7327 0.6393 0.7936  4 O 1.67-1.83
V3 0.2327 0.7936 0.6393  4 O 1.67-1.83
V4 0.7673 0.2064 0.3607  4 O 1.67-1.83

Output
As for the crystal system: monoclinic. The calculation puts the total energy at -6.639 eV per atom. The calculation puts the calculated density at 3.31 g cm⁻³.

***

No. 2
The following is a DFT calculation (PBE+U) of a relaxed CsRbVO3 crystal.

abc: 6.7201 6.7201 7.8821
angles: 90.00 90.00 120.00
Last column: nearest neighbours and their distance in Å.
Fractional coordinates of all 12 atoms:
O1 0.8154 0.6307 0.7500  1 V 1.73
O2 0.1846 0.8154 0.2500  1 V 1.73
O3 0.3693 0.1846 0.7500  1 V 1.73
O4 0.1846 0.3693 0.2500  1 V 1.73
O5 0.6307 0.8154 0.2500  1 V 1.73
O6 0.8154 0.1846 0.7500  1 V 1.73
Rb1 0.0000 0.0000 0.0000  6 O 2.92
Rb2 0.0000 0.0000 0.5000  6 O 2.92
Cs1 0.3333 0.6667 0.7500  6 O 3.37
Cs2 0.6667 0.3333 0.2500  6 O 3.37
V1 0.6667 0.3333 0.7500  3 O 1.73
V2 0.3333 0.6667 0.2500  3 O 1.73

Output
As for the crystal system: hexagonal. The calculation puts the total energy at -5.761 eV per atom. The calculation puts the calculated density at 3.42 g cm⁻³.

***

No. 3
The following is a DFT calculation (PBE+U) of a relaxed Cs2RbVO4 crystal.

abc: 6.6368 6.9020 13.4518
angles: 83.19 75.72 61.26
Last column: nearest neighbours and their distance in Å.
Fractional coordinates of all 16 atoms:
O1 0.3551 0.6742 0.4276  1 V 1.75
O2 0.3949 0.8258 0.0724  1 V 1.75
O3 0.4569 0.3258 0.5724  1 V 1.75
O4 0.7793 0.8258 0.9276  1 V 1.75
O5 0.9707 0.6742 0.5724  1 V 1.75
O6 0.5327 0.1742 0.0724  1 V 1.75
O7 0.2931 0.1742 0.9276  1 V 1.75
O8 0.2173 0.3258 0.4276  1 V 1.75
V1 0.2500 0.5000 0.5000  4 O 1.75
V2 0.5000 0.0000 0.0000  4 O 1.75
Cs1 0.5536 0.5000 0.8929  4 O 3.12-3.37
Cs2 0.8036 0.0000 0.3929  4 O 3.12-3.37
Cs3 0.1965 0.0000 0.6071  4 O 3.12-3.37
Cs4 0.9464 0.5000 0.1071  4 O 3.12-3.37
Rb1 0.7500 0.5000 0.5000  4 O 2.69
Rb2 0.0000 0.0000 0.0000  4 O 2.69

Output
As for the crystal system: orthorhombic. The calculation puts the total energy at -5.437 eV per atom. The calculation puts the calculated density at 2.96 g cm⁻³.

***

No. 4
The following is a DFT calculation (PBE+U) of a relaxed CsRbVO4 crystal.

abc: 6.7332 6.7332 6.7134
angles: 120.10 120.10 90.00
Last column: nearest neighbours and their distance in Å.
Fractional coordinates of all 7 atoms:
O1 0.3052 0.7811 0.2880  1 V 1.74
O2 0.4932 0.6948 0.7120  1 V 1.74
O3 0.9828 0.5068 0.2880  1 V 1.74
O4 0.2189 0.0172 0.7120  1 V 1.74
Rb1 0.5000 0.5000 0.0000  4 O 2.81
V1 0.2500 0.7500 0.5000  4 O 1.74
Cs1 0.0000 0.0000 0.0000  4 O 3.00

Output
As for the crystal system: tetragonal. The calculation puts the total energy at -5.830 eV per atom. The calculation puts the calculated density at 2.58 g cm⁻³.

***

No. 5
The following is a DFT calculation (PBE+U) of a relaxed Cs2RbV2O6 crystal.

abc: 6.7575 6.6658 7.6439
angles: 113.85 90.00 120.46
Last column: nearest neighbours and their distance in Å.
Fractional coordinates of all 11 atoms:
Cs1 0.7076 0.4152 0.1801  7 O 3.21-3.46
Cs2 0.2924 0.5848 0.8199  7 O 3.21-3.46
O1 0.1757 0.9273 0.1952  1 V 1.71
O2 0.2483 0.0727 0.8048  1 V 1.71
O3 0.7517 0.9273 0.1952  1 V 1.71
O4 0.8243 0.0727 0.8048  1 V 1.71
O5 0.7868 0.5736 0.6422  1 V 1.69
O6 0.2132 0.4264 0.3578  1 V 1.69
V1 0.0481 0.0962 0.2088  3 O 1.69-1.71
V2 0.9519 0.9038 0.7912  3 O 1.69-1.71
Rb1 0.5000 0.0000 0.5000  6 O 2.91-2.95

Output
As for the crystal system: monoclinic. The calculation puts the total energy at -6.031 eV per atom. The calculation puts the calculated density at 3.48 g cm⁻³.

***

No. 6
The following is a DFT calculation (PBE+U) of a relaxed CsRb2V2O6 crystal.

abc: 6.7709 6.6030 7.6542
angles: 114.57 90.00 120.85
Last column: nearest neighbours and their distance in Å.
Fractional coordinates of all 11 atoms:
O1 0.1936 0.3873 0.3921  1 V 1.69
O2 0.2700 0.1187 0.8349  1 V 1.71
O3 0.1513 0.8813 0.1651  1 V 1.71
O4 0.8487 0.1187 0.8349  1 V 1.71
O5 0.7300 0.8813 0.1651  1 V 1.71
O6 0.8064 0.6127 0.6079  1 V 1.69
Cs1 0.5000 0.0000 0.5000  6 O 3.03-3.16
Rb1 0.7029 0.4059 0.1685  5 O 2.98-3.06
Rb2 0.2971 0.5941 0.8315  5 O 2.98-3.06
V1 0.9672 0.9343 0.7974  3 O 1.69-1.71
V2 0.0328 0.0657 0.2026  3 O 1.69-1.71

Output
As for the crystal system: monoclinic. The calculation puts the total energy at -6.020 eV per atom. The calculation puts the calculated density at 3.24 g cm⁻³.

***

No. 7
The following is a DFT calculation (PBE+U) of a relaxed Cs3RbV2O6 crystal.

abc: 6.7595 6.7595 8.1589
angles: 90.00 90.00 120.00
Last column: nearest neighbours and their distance in Å.
Fractional coordinates of all 12 atoms:
Cs1 0.6667 0.3333 0.2885  6 O 3.39
Cs2 0.0000 0.0000 0.0000  6 O 3.08
Cs3 0.3333 0.6667 0.7115  6 O 3.39
O1 0.8137 0.6273 0.7343  1 V 1.73
O2 0.8137 0.1863 0.7343  1 V 1.73
O3 0.6273 0.8137 0.2657  1 V 1.73
O4 0.3727 0.1863 0.7343  1 V 1.73
O5 0.1863 0.8137 0.2657  1 V 1.73
O6 0.1863 0.3727 0.2657  1 V 1.73
V1 0.3333 0.6667 0.2446  3 O 1.73
V2 0.6667 0.3333 0.7554  3 O 1.73
Rb1 0.0000 0.0000 0.5000  6 O 2.90

Output
As for the crystal system: trigonal. The calculation puts the total energy at -5.749 eV per atom. The calculation puts the calculated density at 3.51 g cm⁻³.

***

No. 8
The following is a DFT calculation (PBE+U) of a relaxed CsRb2WO4 crystal.

abc: 6.2219 6.2219 7.5304
angles: 114.39 114.39 90.03
Last column: nearest neighbours and their distance in Å.
Fractional coordinates of all 8 atoms:
O1 0.2436 0.2436 0.8243  1 W 1.83
O2 0.5806 0.5806 0.8242  1 W 1.83
O3 0.7562 0.4193 0.1754  1 W 1.83
O4 0.4193 0.7562 0.1754  1 W 1.83
Rb1 0.2502 0.7502 0.5004  4 O 3.05
Rb2 0.7502 0.2502 0.5004  4 O 3.05
Cs1 0.0003 0.0003 0.0007  4 O 3.11
W1 0.4999 0.4999 0.9999  4 O 1.83

Output
As for the crystal system: orthorhombic. The calculation puts the total energy at -5.446 eV per atom. The calculation puts the calculated density at 3.87 g cm⁻³.

***

No. 9
The following is a DFT calculation (PBE+U) of a relaxed Cs2RbWO4 crystal.

abc: 6.5548 6.5548 6.5548
angles: 94.11 117.65 117.65
Last column: nearest neighbours and their distance in Å.
Fractional coordinates of all 8 atoms:
Cs1 0.0000 0.0000 0.0000  4 O 3.20
Cs2 0.5000 0.7500 0.2500  4 O 2.96
O1 0.0208 0.2420 0.5978  1 W 1.89
O2 0.3557 0.7787 0.7580  1 W 1.89
O3 0.9792 0.5770 0.2213  1 W 1.89
O4 0.6443 0.4022 0.4230  1 W 1.89
Rb1 0.5000 0.2500 0.7500  4 O 2.79
W1 0.0000 0.5000 0.5000  4 O 1.89

Output
As for the crystal system: tetragonal. The calculation puts the total energy at -5.488 eV per atom. The calculation puts the calculated density at 4.84 g cm⁻³.

***

No. 10
The following is a DFT calculation (PBE+U) of a relaxed CsRbWO4 crystal.

abc: 6.8399 6.9945 8.0875
angles: 90.00 109.39 90.00
Last column: nearest neighbours and their distance in Å.
Fractional coordinates of all 14 atoms:
W1 0.2616 0.7500 0.3104  4 O 1.82
W2 0.7384 0.2500 0.6896  4 O 1.82
O1 0.9065 0.0403 0.7388  1 W 1.82
O2 0.0935 0.9597 0.2612  1 W 1.82
O3 0.4126 0.7500 0.5425  1 W 1.82
O4 0.0935 0.5403 0.2612  1 W 1.82
O5 0.5874 0.2500 0.4575  1 W 1.82
O6 0.5622 0.2500 0.8159  1 W 1.82
O7 0.4378 0.7500 0.1841  1 W 1.82
O8 0.9065 0.4597 0.7388  1 W 1.82
Cs1 0.3065 0.2500 0.0663  6 O 3.08-3.44
Cs2 0.6935 0.7500 0.9337  6 O 3.08-3.44
Rb1 0.8254 0.7500 0.4812  4 O 2.83-3.02
Rb2 0.1746 0.2500 0.5188  4 O 2.83-3.02

Output
As for the crystal system: monoclinic. The calculation puts the total energy at -6.151 eV per atom. The calculation puts the calculated density at 4.24 g cm⁻³.

***

No. 11
The following is a DFT calculation (PBE+U) of a relaxed Cs3Rb2WO6 crystal.

abc: 6.8920 6.8920 6.8513
angles: 99.31 99.31 120.07
Last column: nearest neighbours and their distance in Å.
Fractional coordinates of all 12 atoms:
O1 0.9411 0.7072 0.8254  1 W 1.98
O2 0.0589 0.2928 0.1746  1 W 1.98
O3 0.7072 0.9411 0.8254  1 W 1.98
O4 0.1741 0.1741 0.8195  1 W 1.98
O5 0.8259 0.8259 0.1805  1 W 1.98
O6 0.2928 0.0589 0.1746  1 W 1.98
W1 0.0000 0.0000 0.0000  6 O 1.98
Cs1 0.1666 0.8334 0.5000  4 O 2.91-2.92
Cs2 0.5000 0.5000 0.5000  4 O 2.95
Cs3 0.8334 0.1666 0.5000  4 O 2.91-2.92
Rb1 0.6668 0.3332 0.0000  6 O 2.91-2.96
Rb2 0.3332 0.6668 0.0000  6 O 2.91-2.96

Output
As for the crystal system: monoclinic. The calculation puts the total energy at -5.051 eV per atom. The calculation puts the calculated density at 5.29 g cm⁻³.